[1]
A plane-wave DFT calculation with PBE-GGA was carried out for a relaxed Hf2ZrNiAs4Pd3 crystal.

The total energy comes out at -76.95 eV for the cell shown. The calculation puts the polymorph energy (0 for the lowest one) at 1 meV/atom.

It has space group Pm (No. 6), with a = 6.601 Å, b = 3.906 Å, c = 7.653 Å, α = 90.00°, β = 90.23° and γ = 90.00°. Symmetry generates all atoms from Hf at (0.000, 0.000, 0.000), Hf at (0.077, 0.500, 0.621), Zr at (0.573, 0.500, 0.491), Ni at (0.905, 0.000, 0.368), As at (0.286, 0.500, 0.939), As at (0.290, 0.000, 0.427), As at (0.772, 0.500, 0.195), As at (0.794, 0.000, 0.672), Pd at (0.161, 0.500, 0.250), Pd at (0.386, 0.000, 0.752) and Pd at (0.689, 0.500, 0.877).


[2]
A plane-wave DFT calculation with PBE-GGA was carried out for a relaxed HfZr2Ni2As4Pd2 crystal.

The total energy comes out at -75.80 eV for the cell shown. The calculation puts the polymorph energy (0 for the lowest one) at 31 meV/atom.

It has space group Pm (No. 6), with a = 6.522 Å, b = 3.883 Å, c = 7.536 Å, α = 90.00°, β = 90.31° and γ = 90.00°. Symmetry generates all atoms from Hf at (0.000, 0.000, 0.000), Zr at (0.070, 0.500, 0.629), Zr at (0.567, 0.500, 0.487), Ni at (0.691, 0.500, 0.869), Ni at (0.894, 0.000, 0.371), As at (0.282, 0.000, 0.430), As at (0.302, 0.500, 0.946), As at (0.759, 0.500, 0.180), As at (0.781, 0.000, 0.686), Pd at (0.152, 0.500, 0.249) and Pd at (0.396, 0.000, 0.760).


[3]
A plane-wave DFT calculation with PBE-GGA was carried out for a relaxed HfZr2Ni2As4Pd2 crystal.

The total energy comes out at -75.76 eV for the cell shown. The calculation puts the polymorph energy (0 for the lowest one) at 35 meV/atom.

It has space group Pm (No. 6), with a = 6.566 Å, b = 3.871 Å, c = 7.541 Å, α = 90.00°, β = 90.47° and γ = 90.00°. Symmetry generates all atoms from Hf at (0.000, 0.000, 0.000), Zr at (0.486, 0.000, 0.133), Zr at (0.555, 0.500, 0.507), Ni at (0.181, 0.500, 0.256), Ni at (0.397, 0.000, 0.757), As at (0.268, 0.500, 0.924), As at (0.270, 0.000, 0.448), As at (0.789, 0.500, 0.192), As at (0.799, 0.000, 0.696), Pd at (0.659, 0.500, 0.876) and Pd at (0.893, 0.000, 0.381).


[4]
A plane-wave DFT calculation with PBE-GGA was carried out for a relaxed Hf2ZrNiAs4Pd3 crystal.

The total energy comes out at -76.90 eV for the cell shown. The calculation puts the polymorph energy (0 for the lowest one) at 5 meV/atom.

It has space group Pm (No. 6), with a = 6.564 Å, b = 3.905 Å, c = 7.623 Å, α = 90.00°, β = 90.47° and γ = 90.00°. Symmetry generates all atoms from Hf at (0.000, 0.000, 0.000), Hf at (0.428, 0.500, 0.486), Zr at (0.926, 0.500, 0.627), Ni at (0.316, 0.500, 0.860), As at (0.218, 0.000, 0.696), As at (0.254, 0.500, 0.167), As at (0.702, 0.000, 0.427), As at (0.704, 0.500, 0.941), Pd at (0.117, 0.000, 0.369), Pd at (0.605, 0.000, 0.753) and Pd at (0.840, 0.500, 0.246).


[5]
A plane-wave DFT calculation with PBE-GGA was carried out for a relaxed HfZr2Ni2As4Pd2 crystal.

The total energy comes out at -75.94 eV for the cell shown. The calculation puts the polymorph energy (0 for the lowest one) at 19 meV/atom.

It has space group Pm (No. 6), with a = 6.564 Å, b = 3.870 Å, c = 7.583 Å, α = 90.00°, β = 90.73° and γ = 90.00°. Symmetry generates all atoms from Hf at (0.000, 0.000, 0.000), Zr at (0.066, 0.500, 0.374), Zr at (0.505, 0.000, 0.874), Ni at (0.168, 0.500, 0.748), Ni at (0.691, 0.500, 0.130), As at (0.290, 0.500, 0.053), As at (0.297, 0.000, 0.577), As at (0.774, 0.000, 0.303), As at (0.785, 0.500, 0.816), Pd at (0.389, 0.000, 0.257) and Pd at (0.901, 0.000, 0.624).


[6]
A plane-wave DFT calculation with PBE-GGA was carried out for a relaxed HfZr2Ni2As4Pd2 crystal.

The total energy comes out at -76.13 eV for the cell shown. The calculation puts the polymorph energy (0 for the lowest one) at 1 meV/atom.

It has space group Pm (No. 6), with a = 6.603 Å, b = 3.888 Å, c = 7.466 Å, α = 90.00°, β = 91.05° and γ = 90.00°. Symmetry generates all atoms from Hf at (0.000, 0.000, 0.000), Zr at (0.487, 0.000, 0.868), Zr at (0.931, 0.500, 0.384), Ni at (0.081, 0.000, 0.638), Ni at (0.837, 0.500, 0.749), As at (0.207, 0.500, 0.785), As at (0.215, 0.000, 0.335), As at (0.709, 0.000, 0.581), As at (0.716, 0.500, 0.053), Pd at (0.305, 0.500, 0.131) and Pd at (0.606, 0.000, 0.257).


Copy entry 3 word for word.
A plane-wave DFT calculation with PBE-GGA was carried out for a relaxed HfZr2Ni2As4Pd2 crystal.

The total energy comes out at -75.76 eV for the cell shown. The calculation puts the polymorph energy (0 for the lowest one) at 35 meV/atom.

It has space group Pm (No. 6), with a = 6.566 Å, b = 3.871 Å, c = 7.541 Å, α = 90.00°, β = 90.47° and γ = 90.00°. Symmetry generates all atoms from Hf at (0.000, 0.000, 0.000), Zr at (0.486, 0.000, 0.133), Zr at (0.555, 0.500, 0.507), Ni at (0.181, 0.500, 0.256), Ni at (0.397, 0.000, 0.757), As at (0.268, 0.500, 0.924), As at (0.270, 0.000, 0.448), As at (0.789, 0.500, 0.192), As at (0.799, 0.000, 0.696), Pd at (0.659, 0.500, 0.876) and Pd at (0.893, 0.000, 0.381).


Which value of polymorph energy (0 for the lowest one) does entry 3 give?
35 meV/atom


Number 2 is which compound?
HfZr2Ni2As4Pd2